Entry 1:
A relaxed structure of LiErHf2As4, computed with GGA-PBE.

Cell: 6.6783 3.8804 6.9283 Å, 90.00 108.60 90.00°
With the nearest neighbours (Å) after each atom.
Positions (direct):
Li (0.0000, 0.0000, 0.0000)  6 As 2.77-2.81
Er (0.5000, 0.5000, 0.0000)  6 As 2.83-2.84
Hf (0.0000, 0.5000, 0.5000)  6 As 2.69-2.72
Hf (0.5000, 0.0000, 0.5000)  6 As 2.74-2.75
As (0.2401, 0.0000, 0.7389)  3 Hf 2.72-2.75, 1 Li 2.77, 2 Er 2.84
As (0.2502, 0.5000, 0.2624)  3 Hf 2.69-2.74, 2 Li 2.81, 1 Er 2.83
As (0.7498, 0.5000, 0.7376)  3 Hf 2.69-2.74, 2 Li 2.81, 1 Er 2.83
As (0.7599, 0.0000, 0.2611)  3 Hf 2.72-2.75, 1 Li 2.77, 2 Er 2.84

## Properties
- Mass density: 8.11 g/cm³
- Symmetry: P2/m (10)
- Total magnetization: 0.00 μB per cell
- Calculated total energy: -6.649 eV per atom
- Crystal system: monoclinic
- Energy of formation: -1.026 eV per atom
- Volume: 170.17 Å³/cell
- N(E_F): 0.17 states/eV/atom



Entry 2:
A relaxed structure of Dy2GaAu3, computed with GGA-PBE.

Cell: 3.4304 4.6017 8.1325 Å, 90.00 90.00 90.00°
With the nearest neighbours (Å) after each atom.
Positions (direct):
Dy (0.0000, 0.0000, 0.0000)  8 Au 3.08-3.18, 4 Ga 3.24, 2 Dy 3.43
Dy (0.0000, 0.5000, 0.4776)  10 Au 3.11-3.27, 2 Ga 3.24, 2 Dy 3.43
Ga (0.5000, 0.5000, 0.8152)  3 Au 2.58-2.61
Au (0.5000, 0.0000, 0.3290)  3 Au 2.78-2.79
Au (0.5000, 0.0000, 0.6705)  2 Ga 2.58, 1 Au 2.78
Au (0.5000, 0.5000, 0.1360)  1 Ga 2.61, 2 Au 2.79

## Properties
- Mass density: 12.75 g/cm³
- Symmetry: Pmm2 (25)
- Total magnetization: 0.00 μB per cell
- Calculated total energy: -4.471 eV per atom
- Crystal system: orthorhombic
- Energy of formation: -0.794 eV per atom
- Volume: 128.38 Å³/cell
- N(E_F): 0.60 states/eV/atom



Question: Which value of N(E_F) does entry 2 give?
Answer: 0.60 states/eV/atom